Record 1
This record from Alexandria describes a relaxed structure of AcLa4Nd2Dy. The functional is PBE.

Properties
* DFT formation energy: 25 meV/atom
* Fermi-level density of states: 29.35 states/eV/cell

Cell lengths 11.775, 5.280, 10.610 Å; angles 90.00, 116.76, 90.00 degrees
Space group C2/m (No. 12)
One atom of each set of equivalent atoms:
Ac  0.000  0.000  0.000 [2 per cell]
La  0.247  0.000  0.869 [4 per cell]
La  0.248  0.500  0.622 [4 per cell]
Nd  0.001  0.500  0.744 [4 per cell]
Dy  0.000  0.000  0.500 [2 per cell]

---

Record 2
This record from Alexandria describes a relaxed structure of NdPdAu. The functional is PBE.

Properties
* DFT formation energy: -748 meV/atom
* Fermi-level density of states: 1.28 states/eV/cell

Cell lengths 4.6591, 4.6591, 3.6467 Å; angles 90.00, 90.00, 120.00 degrees
Space group P-6m2 (No. 187)
One atom of each set of equivalent atoms:
Nd  0.0000  0.0000  0.0000 [1 per cell]
Pd  0.3333  0.6667  0.5000 [1 per cell]
Au  0.6667  0.3333  0.5000 [1 per cell]

---

Record 3
This record from Alexandria describes a relaxed structure of Cd2CoTc. The functional is PBE.

Properties
* DFT formation energy: 594 meV/atom
* Fermi-level density of states: 22.01 states/eV/cell

Cell lengths 6.428, 6.428, 6.428 Å; angles 90.00, 90.00, 90.00 degrees
Space group Fm-3m (No. 225)
One atom of each set of equivalent atoms:
Cd  0.250  0.250  0.250 [8 per cell]
Co  0.000  0.000  0.000 [4 per cell]
Tc  0.000  0.000  0.500 [4 per cell]

---

Record 4
This record from Alexandria describes a relaxed structure of NdMg3Zn8. The functional is PBE.

Properties
* DFT formation energy: -173 meV/atom
* Fermi-level density of states: 13.43 states/eV/cell

Cell lengths 5.3211, 5.3211, 26.3166 Å; angles 90.00, 90.00, 120.00 degrees
Space group R3m (No. 160, hexagonal axes)
One atom of each set of equivalent atoms:
Nd  0.0000  0.0000  0.0000 [3 per cell]
Mg  0.0000  0.0000  0.1264 [3 per cell]
Mg  0.0000  0.0000  0.4980 [3 per cell]
Mg  0.0000  0.0000  0.6188 [3 per cell]
Zn  0.0000  0.0000  0.3112 [3 per cell]
Zn  0.0000  0.0000  0.8127 [3 per cell]
Zn  0.0040  0.5020  0.0656 [9 per cell]
Zn  0.1678  0.3357  0.8923 [9 per cell]

---

Record 5
This record from Alexandria describes a relaxed structure of Mo3Pt. The functional is PBE.

Properties
* DFT formation energy: -83 meV/atom
* Fermi-level density of states: 10.84 states/eV/cell

Cell lengths 5.7161, 5.7161, 4.4669 Å; angles 90.00, 90.00, 120.00 degrees
Space group P6_3/mmc (No. 194)
One atom of each set of equivalent atoms:
Mo  0.1588  0.3176  0.2500 [6 per cell]
Pt  0.3333  0.6667  0.7500 [2 per cell]

---

Record 6
This record from Alexandria describes a relaxed structure of LaGa3S. The functional is PBE.

Properties
* energy relative to the elements, uncorrected: 4.658 eV/f.u.
* Fermi-level density of states: 3.26 states/eV/cell

Cell lengths 5.763, 5.763, 5.763 Å; angles 90.00, 90.00, 90.00 degrees
Space group Pm-3m (No. 221)
One atom of each set of equivalent atoms:
La  0.000  0.000  0.000 [1 per cell]
Ga  0.000  0.000  0.500 [3 per cell]
S  0.500  0.500  0.500 [1 per cell]

---

Record 7
This record from Alexandria describes a relaxed structure of TmCrCu4. The functional is PBE.

Properties
* DFT formation energy: -38 meV/atom
* Fermi-level density of states: 27.87 states/eV/cell

Cell lengths 7.101, 7.101, 7.101 Å; angles 90.00, 90.00, 90.00 degrees
Space group F-43m (No. 216)
One atom of each set of equivalent atoms:
Tm  0.000  0.000  0.000 [4 per cell]
Cr  0.250  0.250  0.250 [4 per cell]
Cu  0.124  0.124  0.624 [16 per cell]

---

Record 8
This record from Alexandria describes a relaxed structure of PrU2ReC4. The functional is PBE.

Properties
* DFT formation energy: -30 meV/atom
* Fermi-level density of states: 35.01 states/eV/cell

Cell lengths 3.611, 11.741, 11.829 Å; angles 90.00, 90.00, 90.00 degrees
Space group Cmcm (No. 63)
One atom of each set of equivalent atoms:
Pr  0.000  0.110  0.250 [4 per cell]
U  0.000  0.371  0.044 [8 per cell]
Re  0.000  0.152  0.750 [4 per cell]
C  0.000  0.000  0.000 [4 per cell]
C  0.000  0.255  0.616 [8 per cell]
C  0.000  0.431  0.250 [4 per cell]

---

Record 9
This record from Alexandria describes a relaxed structure of Pa6CrBi2. The functional is PBE.

Properties
* DFT formation energy: 27 meV/atom
* Fermi-level density of states: 15.73 states/eV/cell

Cell lengths 8.7097, 8.7097, 3.4249 Å; angles 90.00, 90.00, 120.00 degrees
Space group P-62m (No. 189)
One atom of each set of equivalent atoms:
Pa  0.0000  0.2432  0.0000 [3 per cell]
Pa  0.0000  0.6352  0.5000 [3 per cell]
Cr  0.0000  0.0000  0.5000 [1 per cell]
Bi  0.3333  0.6667  0.0000 [2 per cell]

---

Record 10
This record from Alexandria describes a relaxed structure of Pm2IrPt. The functional is PBE.

Properties
* DFT formation energy: -924 meV/atom
* Fermi-level density of states: 4.52 states/eV/cell

Cell lengths 5.838, 4.336, 7.910 Å; angles 90.00, 110.12, 90.00 degrees
Space group P2_1/m (No. 11)
One atom of each set of equivalent atoms:
Pm  0.215  0.250  0.434 [2 per cell]
Pm  0.221  0.250  0.925 [2 per cell]
Ir  0.329  0.750  0.709 [2 per cell]
Pt  0.327  0.750  0.206 [2 per cell]

---

Record 11
This record from Alexandria describes a relaxed structure of Pr5Y2Sn5. The functional is PBE.

Properties
* DFT formation energy: -566 meV/atom
* Fermi-level density of states: 15.91 states/eV/cell

Cell lengths 15.068, 4.487, 12.934 Å; angles 90.00, 109.99, 90.00 degrees
Space group C2/m (No. 12)
One atom of each set of equivalent atoms:
Pr  0.000  0.000  0.000 [2 per cell]
Pr  0.161  0.000  0.542 [4 per cell]
Pr  0.228  0.000  0.844 [4 per cell]
Y  0.048  0.500  0.287 [4 per cell]
Sn  0.000  0.500  0.500 [2 per cell]
Sn  0.116  0.500  0.925 [4 per cell]
Sn  0.190  0.000  0.293 [4 per cell]

---

Record 12
This record from Alexandria describes a relaxed structure of AlCuRu2. The functional is PBE.

Properties
* DFT formation energy: -110 meV/atom
* Fermi-level density of states: 8.18 states/eV/cell

Cell lengths 3.836, 3.836, 7.360 Å; angles 90.00, 90.00, 90.00 degrees
Space group I-4m2 (No. 119)
One atom of each set of equivalent atoms:
Al  0.000  0.000  0.000 [2 per cell]
Cu  0.000  0.500  0.750 [2 per cell]
Ru  0.000  0.000  0.500 [2 per cell]
Ru  0.000  0.500  0.250 [2 per cell]

---

Among the records above, which one has the highest Fermi-level density of states? PrU2ReC4

---

Fermi-level density of states of number 2 (NdPdAu)? 1.28 states/eV/cell